(1)
Compound: Be3MoPt
Source: Alexandria
Functional: PBE
Structure: relaxed

Summary:
Energy of formation from the pure elements (eV per formula unit): 6.35
Space group: Pm-3m
Calculated total energy (eV per atom): -4.3391
Energy above the lowest structure with this stoichiometry (eV per atom): 0.748

Cell lengths 4.1334, 4.1334, 4.1334 Å; angles 90.00, 90.00, 90.00 degrees
Closest atoms and distances in Å follow each position.
Element x y z (fractional)
Be  0.5000  0.0000  0.0000  2 Mo 2.07
Be  0.0000  0.5000  0.0000  2 Mo 2.07
Be  0.0000  0.0000  0.5000  2 Mo 2.07
Pt  0.5000  0.5000  0.5000  12 Be 2.92
Mo  0.0000  0.0000  0.0000  6 Be 2.07

(2)
Compound: BeMo2Pt
Source: Alexandria
Functional: PBE
Structure: relaxed

Summary:
Energy of formation from the pure elements (eV per formula unit): -0.56
Space group: P4/mmm
Calculated total energy (eV per atom): -7.9966

Cell lengths 2.7290, 2.7290, 7.4078 Å; angles 90.00, 90.00, 90.00 degrees
Closest atoms and distances in Å follow each position.
Element x y z (fractional)
Pt  0.5000  0.5000  0.2500  4 Pt 2.73, 8 Mo 2.84
Mo  0.0000  0.0000  0.9689  4 Be 2.52, 4 Mo 2.73
Mo  0.0000  0.0000  0.5311  4 Be 2.52, 4 Mo 2.73
Be  0.5000  0.5000  0.7500  8 Mo 2.52, 4 Be 2.73

(3)
Compound: Be2MoPt
Source: Alexandria
Functional: PBE
Structure: relaxed

Summary:
Energy of formation from the pure elements (eV per formula unit): -1.24
Space group: P4mm
Calculated total energy (eV per atom): -6.3914
Energy above the lowest structure with this stoichiometry (eV per atom): 0.037

Cell lengths 2.7608, 2.7608, 6.1864 Å; angles 90.00, 90.00, 90.00 degrees
Closest atoms and distances in Å follow each position.
Element x y z (fractional)
Be  0.0000  0.0000  0.0287  4 Be 2.23, 4 Pt 2.40
Be  0.5000  0.5000  0.2038  4 Be 2.23, 1 Pt 2.48
Mo  0.0000  0.0000  0.4653  5 Be 2.54-2.70, 4 Mo 2.76
Pt  0.5000  0.5000  0.8023  5 Be 2.40-2.48

(4)
Compound: BeMo2Pt
Source: Alexandria
Functional: PBE
Structure: relaxed

Summary:
Energy of formation from the pure elements (eV per formula unit): -0.49
Space group: Pmmm
Calculated total energy (eV per atom): -7.9807

Cell lengths 3.6416, 3.6306, 4.2968 Å; angles 90.00, 90.00, 90.00 degrees
Closest atoms and distances in Å follow each position.
Element x y z (fractional)
Mo  0.5000  0.5000  0.0000  4 Mo 2.57, 4 Pt 2.81, 4 Be 2.82
Mo  0.0000  0.0000  0.0000  4 Mo 2.57, 4 Be 2.81, 4 Pt 2.82
Pt  0.5000  0.0000  0.5000  4 Be 2.57, 8 Mo 2.81-2.82
Be  0.0000  0.5000  0.5000  4 Pt 2.57, 8 Mo 2.81-2.82

(5)
Compound: BeMo2Pt
Source: Alexandria
Functional: PBE
Structure: relaxed

Summary:
Energy of formation from the pure elements (eV per formula unit): -0.79
Space group: Cmm2
Calculated total energy (eV per atom): -8.0549

Cell lengths 2.7303, 2.7303, 7.4294 Å; angles 90.00, 90.00, 90.20 degrees
Closest atoms and distances in Å follow each position.
Element x y z (fractional)
Be  0.5000  0.5000  0.7313  4 Pt 2.38-2.39, 4 Mo 2.57-2.58
Pt  0.0000  0.0000  0.5427  4 Be 2.38-2.39
Mo  0.0000  0.0000  0.9602  4 Be 2.57-2.58, 4 Mo 2.73
Mo  0.5000  0.5000  0.2657  8 Mo 2.73-2.98, 4 Pt 2.82

(6)
Compound: Be2MoPt
Source: Alexandria
Functional: PBE
Structure: relaxed

Summary:
Energy of formation from the pure elements (eV per formula unit): -1.08
Space group: Pmmm
Calculated total energy (eV per atom): -6.3520
Energy above the lowest structure with this stoichiometry (eV per atom): 0.076

Cell lengths 4.1749, 4.1945, 2.6952 Å; angles 90.00, 90.00, 90.00 degrees
Closest atoms and distances in Å follow each position.
Element x y z (fractional)
Be  0.0000  0.0000  0.0000  4 Mo 2.48, 4 Pt 2.49, 2 Be 2.70
Be  0.5000  0.5000  0.0000  4 Pt 2.48, 4 Mo 2.49, 2 Be 2.70
Pt  0.0000  0.5000  0.5000  8 Be 2.48-2.49, 2 Pt 2.70
Mo  0.5000  0.0000  0.5000  8 Be 2.48-2.49, 2 Mo 2.70